Entry from Alexandria via LeMat-Bulk: TcP2Br after structural relaxation (PBE).

The structure in POSCAR format:
```
TcP2Br
1.0
-3.077 3.077 5.177
3.077 -3.077 5.177
3.077 3.077 -5.177
Tc P Br
2 4 2
direct
0.000 0.000 0.000 Tc
0.750 0.250 0.500 Tc
0.032 0.625 0.907 P
0.375 0.282 0.407 P
0.718 0.125 0.093 P
0.875 0.968 0.593 P
0.250 0.750 0.500 Br
0.500 0.500 0.000 Br
```

Summary:
Excess energy over the best structure of this formula in the dataset (meV/atom): 298
Electronic total energy (eV per formula unit): -21.85
Energy relative to the elements, uncorrected (eV per atom): 0.252
N(E_F) (states/eV/cell): 1.30